(1)
The following is a DFT calculation (PBE-GGA) of an optimized crystal structure of Pr6Nd16Ho7.

Structure (extended XYZ):
```
29
Lattice="9.8394 0.0000 5.6808 3.2798 9.2766 5.6808 0.0000 0.0000 11.3615" Properties=species:S:1:pos:R:3 pbc="T T T"
Nd 1.6135 1.1409 2.7947
Nd 6.5069 8.1357 17.0423
Nd 10.5818 3.2162 11.3615
Nd 3.2798 5.8538 5.6808
Nd 6.5596 8.9046 11.3615
Nd 6.5596 0.3721 11.3615
Nd 11.5056 8.1357 19.9283
Nd 6.6123 1.1409 5.6808
Nd 8.5707 6.0604 7.8781
Nd 4.5484 3.2162 7.8781
Nd 1.6135 1.1409 8.5668
Nd 8.5707 6.0604 14.8449
Nd 11.5056 8.1357 14.1563
Nd 4.5484 3.2162 14.8449
Nd 2.5373 6.0604 11.3615
Nd 9.8394 3.4228 17.0423
Pr 7.9568 2.6623 13.7817
Pr 3.7650 2.6623 11.3615
Pr 5.1623 6.6144 13.7817
Pr 9.3541 6.6144 11.3615
Pr 7.9568 2.6623 8.9414
Pr 5.1623 6.6144 8.9414
Ho 1.6399 4.6383 2.8404
Ho 4.9197 0.0000 8.5211
Ho 1.6399 4.6383 8.5211
Ho 0.0000 0.0000 0.0000
Ho 6.5596 4.6383 5.6808
Ho 0.0000 0.0000 5.6808
Ho 4.9197 0.0000 2.8404
```

Output
- Space-group type: Fm-3m (225)
- DFT formation energy: 200.1 meV/atom

***

(2)
The following is a DFT calculation (PBE-GGA) of an optimized crystal structure of Pr3NdHo4.

Structure (extended XYZ):
```
8
Lattice="-0.5868 -3.1634 1.3134 6.8588 -0.7728 5.8007 -4.4024 2.0606 7.5935" Properties=species:S:1:pos:R:3 pbc="T T T"
Pr 0.1488 -2.0875 4.2336
Pr 1.7208 0.2118 10.4740
Pr 1.2282 0.6439 6.6971
Ho 4.1755 -1.0494 8.5330
Ho 3.3544 -2.2504 5.2735
Ho -2.3059 -0.8262 6.1746
Ho -1.4848 0.3748 9.4342
Nd -0.2934 -1.5817 0.6567
```

Output
- Space-group type: Immm (71)
- Relative energy among the computed polymorphs: 0.105 eV per atom
- DFT formation energy: 135.1 meV/atom

***

(3)
The following is a DFT calculation (PBE-GGA) of an optimized crystal structure of Pr7NdHo3.

Structure (extended XYZ):
```
11
Lattice="8.7248 0.0000 0.0000 0.0000 7.2810 0.0000 0.0000 -3.6405 6.3055" Properties=species:S:1:pos:R:3 pbc="T T T"
Pr 0.9220 -1.8212 5.2552
Pr 1.0963 3.6405 2.1018
Pr 4.0209 3.6405 4.2066
Pr 0.9220 1.8212 5.2552
Pr 4.0209 1.8177 1.0495
Pr 0.9220 0.0000 2.1007
Pr 4.0209 5.4632 1.0495
Nd 3.8497 0.0000 4.2037
Ho 6.8303 1.8181 3.1540
Ho 6.8303 0.0000 6.3030
Ho 6.8303 -1.8181 3.1540
```

Output
- Space-group type: P3m1 (156)
- Relative energy among the computed polymorphs: 0.000 eV per atom
- DFT formation energy: 184.7 meV/atom

***

(4)
The following is a DFT calculation (PBE-GGA) of an optimized crystal structure of Pr7Nd2Ho3.

Structure (extended XYZ):
```
12
Lattice="-1.8411 2.2691 2.2387 -4.6284 -3.6361 -0.1208 9.3555 -7.6564 15.4543" Properties=species:S:1:pos:R:3 pbc="T T T"
Pr 2.7924 -8.7933 14.2358
Pr 1.4636 -6.9013 8.1987
Pr 0.0936 -0.2299 3.3364
Pr 5.7541 -7.7425 12.5799
Pr -1.0270 -3.5500 2.7536
Pr 3.2635 -4.3912 7.1348
Pr 0.0000 0.0000 0.0000
Ho -0.6297 -4.1887 6.7542
Ho 3.5157 -4.8346 10.8180
Ho -3.2347 -0.6835 1.0589
Nd 2.6298 -8.4705 10.7484
Nd 2.0972 -2.8219 4.5851
```

Output
- Space-group type: Cmmm (65)
- Relative energy among the computed polymorphs: 0.050 eV per atom
- DFT formation energy: 114.9 meV/atom

***

(5)
The following is a DFT calculation (PBE-GGA) of an optimized crystal structure of Pr2Nd7Ho3.

Structure (extended XYZ):
```
12
Lattice="3.6741 0.0000 0.0000 0.0000 5.8510 0.0000 0.0000 -2.9255 19.3501" Properties=species:S:1:pos:R:3 pbc="T T T"
Ho 1.8371 2.9255 0.0000
Ho 1.8371 2.9255 7.1764
Ho 1.8371 0.0000 12.1737
Nd 0.0000 0.0000 15.8475
Nd 0.0000 0.0000 8.9576
Nd 0.0000 2.9255 3.5026
Nd 0.0000 2.9255 10.3925
Nd 1.8371 0.0000 2.7660
Nd 1.8371 2.9255 16.5840
Nd 0.0000 0.0000 0.0000
Pr 0.0000 0.0000 5.7452
Pr 0.0000 2.9255 13.6049
```

Output
- Space-group type: Cmmm (65)
- Relative energy among the computed polymorphs: 0.049 eV per atom
- DFT formation energy: 113.7 meV/atom

***

(6)
The following is a DFT calculation (PBE-GGA) of an optimized crystal structure of Pr2Nd7Ho4.

Structure (extended XYZ):
```
13
Lattice="-1.8106 4.1228 4.3184 -4.1357 -3.9862 -2.4352 2.8256 -8.7707 9.5584" Properties=species:S:1:pos:R:3 pbc="T T T"
Nd -3.1024 -1.8949 3.3433
Nd -2.7066 0.6633 5.5738
Nd 0.0000 0.0000 0.0000
Nd -0.4141 -9.2974 5.8679
Nd -4.1692 -4.4376 1.3255
Nd -0.0184 -6.7393 8.0983
Nd 1.0485 -4.1965 10.1162
Ho -1.1729 -2.9656 6.8464
Ho 1.1111 -3.4489 3.7587
Ho -4.2318 -5.1852 7.6829
Ho -1.9479 -5.6686 4.5952
Pr -2.5856 1.4198 2.0672
Pr -3.3607 -1.2832 -0.1840
```

Output
- Space-group type: P-31m (162)
- DFT formation energy: 175.1 meV/atom

***

(7)
The following is a DFT calculation (PBE-GGA) of an optimized crystal structure of Pr5Nd6Ho.

Structure (extended XYZ):
```
12
Lattice="12.1371 -1.4696 0.0000 1.8644 6.1019 0.0000 0.9322 3.0509 5.5242" Properties=species:S:1:pos:R:3 pbc="T T T"
Pr 7.9330 5.3671 1.8393
Pr 7.0008 2.3161 0.0000
Pr 1.8644 6.1019 3.6814
Pr 0.9322 3.0509 1.8428
Pr 7.0008 2.3161 3.6848
Nd 3.4824 1.1603 0.0000
Nd 10.5174 3.4589 3.6916
Nd 4.4164 4.2243 1.8326
Nd 5.3486 7.2753 3.6916
Nd 9.5851 0.4080 1.8326
Nd 10.5192 3.4720 0.0000
Ho 0.0000 0.0000 0.0000
```

Output
- Space-group type: C2/m (12)
- DFT formation energy: 13.3 meV/atom

***

(8)
The following is a DFT calculation (PBE-GGA) of an optimized crystal structure of Pr12Nd5Ho2.

Structure (extended XYZ):
```
19
Lattice="7.2703 0.0000 0.0000 -3.6352 8.7416 3.6197 0.0000 -0.2028 10.6429" Properties=species:S:1:pos:R:3 pbc="T T T"
Nd 3.6352 5.4815 4.2552
Nd 0.0000 5.6872 4.5851
Nd 3.6352 2.8517 9.6775
Nd 0.0000 -0.1014 5.3215
Nd 0.0000 3.0573 10.0075
Pr 1.8363 5.7619 11.7016
Pr 5.4715 2.7769 2.5611
Pr 0.0000 8.6467 7.0230
Pr 1.8288 2.8234 6.2779
Pr 1.7988 2.7769 2.5611
Pr 1.8063 5.7154 7.9847
Pr -1.8363 5.7619 11.7016
Pr 3.6352 8.2705 6.0214
Pr -1.8063 5.7154 7.9847
Pr 3.6352 -0.1079 7.2396
Pr 5.4415 2.8234 6.2779
Pr 0.0000 0.2683 8.2412
Ho 5.2409 0.0000 0.0000
Ho 2.0294 0.0000 0.0000
```

Output
- Space-group type: C2/m (12)
- Relative energy among the computed polymorphs: 0.033 eV per atom
- DFT formation energy: 160.6 meV/atom

***

(9)
The following is a DFT calculation (PBE-GGA) of an optimized crystal structure of Pr12Nd3Ho.

Structure (extended XYZ):
```
16
Lattice="-5.1943 -0.4302 0.4025 0.4661 -0.8166 5.1424 -1.4390 20.5498 3.3937" Properties=species:S:1:pos:R:3 pbc="T T T"
Pr -3.4973 12.6386 2.3240
Pr -2.7217 4.4830 3.6157
Pr -3.0836 9.6515 4.4693
Pr -2.3641 -0.6234 2.7725
Pr -3.1361 7.4810 1.4722
Pr -0.6670 12.4455 4.6939
Pr -3.8589 17.8025 3.1768
Pr -0.3059 7.2878 3.8422
Pr 0.0557 2.1240 2.9894
Pr -3.4455 14.8201 5.3229
Pr -2.7745 2.3171 0.6194
Pr -1.0286 17.6093 5.5467
Nd -0.7195 10.2749 1.6968
Nd -1.0810 15.4371 2.5494
Nd -0.3580 5.1127 0.8443
Ho 0.0000 0.0000 0.0000
```

Output
- Space-group type: P4/mmm (123)
- DFT formation energy: 10.6 meV/atom

***

(10)
The following is a DFT calculation (PBE-GGA) of an optimized crystal structure of Pr2Nd3Ho6Pu.

Structure (extended XYZ):
```
12
Lattice="6.2270 -0.0025 -0.0153 -3.1141 5.3924 -0.0153 -1.0117 -1.7518 11.5879" Properties=species:S:1:pos:R:3 pbc="T T T"
Nd 1.0506 1.8190 5.7787
Nd 4.1603 0.0230 5.7787
Nd -2.0592 3.6151 5.7787
Ho 0.0485 3.6271 8.6946
Ho 2.0969 3.6307 2.8482
Ho 0.0043 0.0074 8.7092
Ho -1.0163 1.7835 2.8628
Ho 3.1174 1.8546 8.6946
Ho 2.0527 0.0110 2.8628
Pr 0.0000 3.5938 -0.0153
Pr 3.1128 1.7961 -0.0153
Pu 0.0000 0.0000 0.0000
```

Output
- Space-group type: C2/m (12)
- DFT formation energy: 44.8 meV/atom

***

(11)
The following is a DFT calculation (PBE-GGA) of an optimized crystal structure of PrNd3Ho2S6.

Structure (extended XYZ):
```
12
Lattice="6.9468 -0.0091 -0.0013 -3.4796 6.0125 -0.0013 -1.1578 -2.0047 6.5810" Properties=species:S:1:pos:R:3 pbc="T T T"
Nd -2.3793 4.0403 3.2892
Nd 1.1547 1.9993 3.2892
Nd 4.6887 -0.0417 3.2892
S -0.0913 4.0037 4.9955
S 2.4006 -0.0050 1.5828
S -1.2041 2.0768 1.5828
S 2.2686 3.9280 1.5504
S 3.5135 1.9218 4.9955
S 0.0408 0.0706 5.0279
Ho 3.4659 2.0012 -0.0013
Ho 0.0013 4.0021 -0.0013
Pr 0.0000 0.0000 0.0000
```

Output
- Space-group type: C2/m (12)
- E_form (uncorrected): -2.009 eV/atom

***

(12)
The following is a DFT calculation (PBE-GGA) of an optimized crystal structure of Pr4Nd3HoS8.

Structure (extended XYZ):
```
16
Lattice="8.1259 0.0000 0.0000 0.0000 8.1429 0.0062 -4.0629 -4.0588 5.7488" Properties=species:S:1:pos:R:3 pbc="T T T"
Nd 4.0629 4.0714 0.0031
Nd 2.0315 2.0420 2.8775
Nd -2.0315 2.0420 2.8775
Pr -2.0315 -2.0294 2.8744
Pr 4.0629 0.0000 0.0000
Pr 0.0000 0.0000 0.0000
Pr 2.0315 -2.0294 2.8744
S 0.0000 4.0592 2.7871
S -2.0871 1.9741 5.7403
S 6.1501 2.1099 0.0146
S 1.9758 2.1099 0.0146
S 0.0000 0.0254 2.8894
S 4.0629 4.0587 2.8655
S 2.0871 1.9741 5.7403
S 4.0629 0.0249 2.9678
Ho 0.0000 4.0714 0.0031
```

Output
- Space-group type: R-3m (166)
- E_form (uncorrected): -2.011 eV/atom

***

Number 1: theoretical density 6.90 g/cm³. Number 2: theoretical density 7.54 g/cm³. Number 3: theoretical density 6.74 g/cm³. Number 4: theoretical density 6.99 g/cm³. Number 5: theoretical density 7.13 g/cm³. Number 6: theoretical density 7.24 g/cm³. Number 7: theoretical density 6.79 g/cm³. Number 8: theoretical density 6.68 g/cm³. Number 9: theoretical density 6.66 g/cm³. Number 10: theoretical density 8.32 g/cm³. Number 11: theoretical density 6.63 g/cm³. Number 12: theoretical density 6.19 g/cm³.